(1)
Below is crystalline Tm2VO6 at its relaxed geometry, with properties calculated at the PBE with a Hubbard U level. Values from VASP.

Structure (Quantum ESPRESSO input):
```
&SYSTEM
  ibrav = 0, nat = 18, ntyp = 3
/
ATOMIC_SPECIES
Tm 168.93 Tm.upf
V 50.94 V.upf
O 16.00 O.upf
CELL_PARAMETERS angstrom
5.3123 0.0000 0.0000
0.0000 5.7201 0.0000
-4.2721 0.0000 7.5011
ATOMIC_POSITIONS crystal
Tm 0.1865 0.0947 0.2322
Tm 0.1865 0.4053 0.7322
Tm 0.8135 0.5947 0.2678
Tm 0.8135 0.9053 0.7678
V 0.5000 0.0000 0.0000
V 0.5000 0.5000 0.5000
O 0.1581 0.1677 0.9474
O 0.1581 0.3323 0.4474
O 0.2617 0.7262 0.9052
O 0.2617 0.7738 0.4052
O 0.4431 0.0765 0.7771
O 0.4431 0.4235 0.2771
O 0.5569 0.5765 0.7229
O 0.5569 0.9235 0.2229
O 0.7383 0.2262 0.5948
O 0.7383 0.2738 0.0948
O 0.8419 0.6677 0.5526
O 0.8419 0.8323 0.0526
```

Summary:
As for the space-group type: P2_1/c (14).


(2)
Below is crystalline TmVO3 at its relaxed geometry, with properties calculated at the PBE with a Hubbard U level. Values from VASP.

Structure (Quantum ESPRESSO input):
```
&SYSTEM
  ibrav = 0, nat = 20, ntyp = 3
/
ATOMIC_SPECIES
Tm 168.93 Tm.upf
V 50.94 V.upf
O 16.00 O.upf
CELL_PARAMETERS angstrom
5.6995 0.0000 0.0000
0.0000 7.6000 0.0000
0.0000 0.0000 5.2703
ATOMIC_POSITIONS crystal
Tm 0.0721 0.2500 0.0219
Tm 0.4279 0.7500 0.5219
Tm 0.5721 0.2500 0.4781
Tm 0.9279 0.7500 0.9781
V 0.0000 0.0000 0.5000
V 0.0000 0.5000 0.5000
V 0.5000 0.0000 0.0000
V 0.5000 0.5000 0.0000
O 0.0527 0.7500 0.3730
O 0.1866 0.5631 0.8084
O 0.1866 0.9369 0.8084
O 0.3134 0.0631 0.3084
O 0.3134 0.4369 0.3084
O 0.4473 0.2500 0.8730
O 0.5527 0.7500 0.1270
O 0.6866 0.5631 0.6916
O 0.6866 0.9369 0.6916
O 0.8134 0.0631 0.1916
O 0.8134 0.4369 0.1916
O 0.9473 0.2500 0.6270
```

Summary:
As for the space-group type: Pnma (62).


(3)
Below is crystalline TmV2O4 at its relaxed geometry, with properties calculated at the PBE with a Hubbard U level. Values from VASP.

Structure (Quantum ESPRESSO input):
```
&SYSTEM
  ibrav = 0, nat = 14, ntyp = 3
/
ATOMIC_SPECIES
Tm 168.93 Tm.upf
V 50.94 V.upf
O 16.00 O.upf
CELL_PARAMETERS angstrom
3.4982 -4.7537 0.0000
3.4982 4.7537 0.0000
-3.4172 0.0000 4.8789
ATOMIC_POSITIONS crystal
Tm 0.1192 0.8808 0.7500
Tm 0.8808 0.1192 0.2500
V 0.0000 0.5000 0.0000
V 0.5000 0.0000 0.5000
V 0.5000 0.5000 0.0000
V 0.5000 0.5000 0.5000
O 0.1963 0.2689 0.0616
O 0.2066 0.6570 0.4373
O 0.2689 0.1963 0.5616
O 0.3430 0.7934 0.0627
O 0.6570 0.2066 0.9373
O 0.7311 0.8037 0.4384
O 0.7934 0.3430 0.5627
O 0.8037 0.7311 0.9384
```

Summary:
As for the space-group type: C2/c (15).


(4)
Below is crystalline TmV2O2 at its relaxed geometry, with properties calculated at the PBE with a Hubbard U level. Values from VASP.

Structure (Quantum ESPRESSO input):
```
&SYSTEM
  ibrav = 0, nat = 20, ntyp = 3
/
ATOMIC_SPECIES
Tm 168.93 Tm.upf
V 50.94 V.upf
O 16.00 O.upf
CELL_PARAMETERS angstrom
-4.4688 4.4688 4.4979
4.4688 -4.4688 4.4979
4.4688 4.4688 -4.4979
ATOMIC_POSITIONS crystal
Tm 0.0000 0.0000 0.0000
Tm 0.0000 0.0000 0.5000
Tm 0.0000 0.5000 0.0000
Tm 0.5000 0.0000 0.5000
V 0.0619 0.6344 0.4275
V 0.2931 0.3656 0.9275
V 0.3656 0.2931 0.4275
V 0.3656 0.9381 0.0725
V 0.6344 0.0619 0.9275
V 0.6344 0.7069 0.5725
V 0.7069 0.6344 0.0725
V 0.9381 0.3656 0.5725
O 0.2144 0.3143 0.5998
O 0.2144 0.6146 0.9002
O 0.3143 0.2144 0.0998
O 0.3854 0.7856 0.5998
O 0.6146 0.2144 0.4002
O 0.6857 0.7856 0.9002
O 0.7856 0.3854 0.0998
O 0.7856 0.6857 0.4002
```

Summary:
As for the space-group type: I4_1/amd (141).


(5)
Below is crystalline Tm3VO6 at its relaxed geometry, with properties calculated at the PBE with a Hubbard U level. Values from VASP.

Structure (Quantum ESPRESSO input):
```
&SYSTEM
  ibrav = 0, nat = 20, ntyp = 3
/
ATOMIC_SPECIES
Tm 168.93 Tm.upf
V 50.94 V.upf
O 16.00 O.upf
CELL_PARAMETERS angstrom
4.4197 -5.3673 0.0000
4.4197 5.3673 0.0000
0.0000 0.0000 5.4459
ATOMIC_POSITIONS crystal
Tm 0.1032 0.8968 0.5000
Tm 0.1792 0.4106 0.4462
Tm 0.4106 0.1792 0.9462
Tm 0.5894 0.8208 0.4462
Tm 0.8208 0.5894 0.9462
Tm 0.8968 0.1032 0.0000
V 0.3484 0.6516 0.9336
V 0.6516 0.3484 0.4336
O 0.0989 0.5998 0.7455
O 0.1439 0.1747 0.7233
O 0.1747 0.1439 0.2233
O 0.2778 0.7222 0.2584
O 0.4002 0.9011 0.7455
O 0.4847 0.5153 0.6212
O 0.5153 0.4847 0.1212
O 0.5998 0.0989 0.2455
O 0.7222 0.2778 0.7584
O 0.8253 0.8561 0.7233
O 0.8561 0.8253 0.2233
O 0.9011 0.4002 0.2455
```

Summary:
As for the space-group type: Cmc2_1 (36). The excess energy over the best structure of this formula in the dataset is 0.0557 eV per atom.


(6)
Below is crystalline TmVO4 at its relaxed geometry, with properties calculated at the PBE with a Hubbard U level. Values from VASP.

Structure (Quantum ESPRESSO input):
```
&SYSTEM
  ibrav = 0, nat = 12, ntyp = 3
/
ATOMIC_SPECIES
Tm 168.93 Tm.upf
V 50.94 V.upf
O 16.00 O.upf
CELL_PARAMETERS angstrom
-3.5596 3.5596 3.1499
3.5596 -3.5596 3.1499
3.5596 3.5596 -3.1499
ATOMIC_POSITIONS crystal
Tm 0.3750 0.6250 0.7500
Tm 0.6250 0.3750 0.2500
V 0.1250 0.8750 0.2500
V 0.8750 0.1250 0.7500
O 0.1339 0.6972 0.4367
O 0.2395 0.3028 0.9367
O 0.3028 0.2395 0.4367
O 0.3028 0.8661 0.0633
O 0.6972 0.1339 0.9367
O 0.6972 0.7605 0.5633
O 0.7605 0.6972 0.0633
O 0.8661 0.3028 0.5633
```

Summary:
As for the space-group type: I4_1/amd (141).


These records have density of states at the Fermi level values of 0.3309 0.0000 0.0456 0.2452 0.0000 0.0000 states/eV per atom, in the order they appear.
These records have electronic total energy values of -7.7708 -8.2439 -8.0943 -6.6405 -8.2662 -8.0440 eV per atom, in the order they appear.
These records have theoretical density values of 7.1 7.8 6.9 5.6 8.4 5.9 g/cm³, in the order they appear.